# 1
TcP2SF after structural relaxation, computed with PBE-GGA.

Properties
Total moment: 0.0 μB/cell
Energy relative to the lowest polymorph listed for this composition: 0.0000 eV/atom
ΔE_f (raw): 0.219 eV per atom

Unit cell a=4.6167 b=4.6167 c=4.4968 alpha=90.00 beta=90.00 gamma=90.00
With the nearest neighbours (Å) after each atom.
Fractional coordinates of all 5 atoms:
Tc (0.0000, 0.0000, 0.0000)  2 S 2.25, 4 P 2.31
P (0.0000, 0.5000, 0.0000)  2 Tc 2.31
P (0.5000, 0.0000, 0.0000)  2 Tc 2.31
S (0.0000, 0.0000, 0.5000)  2 Tc 2.25
F (0.5000, 0.5000, 0.5000)  8 P 3.22, 4 S 3.26

# 2
Rb2LiTcAu after structural relaxation, computed with PBE-GGA.

Properties
Total moment: 3.4 μB/cell
Energy of formation: 840 meV/atom

Unit cell a=6.6117 b=6.6117 c=5.2384 alpha=90.00 beta=90.00 gamma=90.00
With the nearest neighbours (Å) after each atom.
Fractional coordinates of all 5 atoms:
Rb (0.0000, 0.5000, 0.0000)  2 Au 3.31
Rb (0.5000, 0.0000, 0.0000)  2 Au 3.31
Li (0.0000, 0.0000, 0.5000)  8 Rb 4.22, 4 Tc 4.68
Tc (0.5000, 0.5000, 0.5000)  2 Au 2.62
Au (0.5000, 0.5000, 0.0000)  2 Tc 2.62

# 3
NaCa3Pt after structural relaxation, computed with PBE-GGA.

Properties
Total moment: 2.0 μB/cell
Energy relative to the lowest polymorph listed for this composition: 0.7154 eV/atom
Energy of formation: 247 meV/atom

Unit cell a=14.1533 b=14.1533 c=5.4513 alpha=90.00 beta=90.00 gamma=150.30
With the nearest neighbours (Å) after each atom.
Fractional coordinates of all 10 atoms:
Na (0.1195, 0.8805, 0.7500)  1 Pt 2.79
Na (0.8805, 0.1195, 0.2500)  1 Pt 2.79
Ca (0.0000, 0.0000, 0.0000)  2 Ca 2.73
Ca (0.0000, 0.0000, 0.5000)  2 Ca 2.73
Ca (0.0267, 0.4380, 0.7500)  1 Pt 2.78
Ca (0.4380, 0.0267, 0.2500)  1 Pt 2.78
Ca (0.5620, 0.9733, 0.7500)  1 Pt 2.78
Ca (0.9733, 0.5620, 0.2500)  1 Pt 2.78
Pt (0.2214, 0.7786, 0.7500)  2 Ca 2.78, 1 Na 2.79
Pt (0.7786, 0.2214, 0.2500)  2 Ca 2.78, 1 Na 2.79

# 4
SmAl2Ni after structural relaxation, computed with PBE-GGA.

Properties
Total moment: 0.0 μB/cell
Energy of formation: -580 meV/atom

Unit cell a=15.2198 b=6.8829 c=5.6805 alpha=90.00 beta=90.00 gamma=90.00
With the nearest neighbours (Å) after each atom.
Fractional coordinates of all 32 atoms:
Sm (0.1035, 0.2500, 0.2150)  3 Ni 2.93-3.28, 6 Al 3.13-3.19
Sm (0.1364, 0.7500, 0.0200)  3 Ni 2.93-3.08, 4 Al 3.12-3.13
Sm (0.3636, 0.2500, 0.5200)  3 Ni 2.93-3.08, 4 Al 3.12-3.13
Sm (0.3965, 0.7500, 0.7150)  3 Ni 2.93-3.28, 6 Al 3.13-3.19
Sm (0.6035, 0.2500, 0.2850)  3 Ni 2.93-3.28, 6 Al 3.13-3.19
Sm (0.6364, 0.7500, 0.4800)  3 Ni 2.93-3.08, 4 Al 3.12-3.13
Sm (0.8636, 0.2500, 0.9800)  3 Ni 2.93-3.08, 4 Al 3.12-3.13
Sm (0.8965, 0.7500, 0.7850)  3 Ni 2.93-3.28, 6 Al 3.13-3.19
Al (0.0445, 0.0589, 0.7026)  3 Ni 2.44-2.52, 1 Al 2.63
Al (0.0445, 0.4411, 0.7026)  3 Ni 2.44-2.52, 1 Al 2.63
Al (0.2110, 0.5549, 0.5192)  3 Ni 2.50-2.58, 1 Al 2.69
Al (0.2110, 0.9451, 0.5192)  3 Ni 2.50-2.58, 1 Al 2.69
Al (0.2890, 0.0549, 0.0192)  3 Ni 2.50-2.58, 1 Al 2.69
Al (0.2890, 0.4451, 0.0192)  3 Ni 2.50-2.58, 1 Al 2.69
Al (0.4555, 0.5589, 0.2026)  3 Ni 2.44-2.52, 1 Al 2.63
Al (0.4555, 0.9411, 0.2026)  3 Ni 2.44-2.52, 1 Al 2.63
Al (0.5445, 0.0589, 0.7974)  3 Ni 2.44-2.52, 1 Al 2.63
Al (0.5445, 0.4411, 0.7974)  3 Ni 2.44-2.52, 1 Al 2.63
Al (0.7110, 0.5549, 0.9808)  3 Ni 2.50-2.58, 1 Al 2.69
Al (0.7110, 0.9451, 0.9808)  3 Ni 2.50-2.58, 1 Al 2.69
Al (0.7890, 0.0549, 0.4808)  3 Ni 2.50-2.58, 1 Al 2.69
Al (0.7890, 0.4451, 0.4808)  3 Ni 2.50-2.58, 1 Al 2.69
Al (0.9555, 0.5589, 0.2974)  3 Ni 2.44-2.52, 1 Al 2.63
Al (0.9555, 0.9411, 0.2974)  3 Ni 2.44-2.52, 1 Al 2.63
Ni (0.0718, 0.7500, 0.5059)  6 Al 2.44-2.51
Ni (0.1850, 0.2500, 0.7487)  6 Al 2.50-2.58
Ni (0.3150, 0.7500, 0.2487)  6 Al 2.50-2.58
Ni (0.4282, 0.2500, 0.0059)  6 Al 2.44-2.51
Ni (0.5718, 0.7500, 0.9941)  6 Al 2.44-2.51
Ni (0.6850, 0.2500, 0.7513)  6 Al 2.50-2.58
Ni (0.8150, 0.7500, 0.2513)  6 Al 2.50-2.58
Ni (0.9282, 0.2500, 0.4941)  6 Al 2.44-2.51

# 5
TaBeCu after structural relaxation, computed with PBE-GGA.

Properties
Total moment: 0.0 μB/cell
Energy relative to the lowest polymorph listed for this composition: 0.1337 eV/atom
Energy of formation: 41 meV/atom

Unit cell a=2.6662 b=4.4488 c=6.6349 alpha=90.00 beta=98.78 gamma=90.00
With the nearest neighbours (Å) after each atom.
Fractional coordinates of all 6 atoms:
Ta (0.1635, 0.0000, 0.1318)  5 Be 2.51-2.77, 2 Ta 2.67, 1 Cu 2.81
Ta (0.8365, 0.5000, 0.8682)  5 Be 2.51-2.77, 2 Ta 2.67, 1 Cu 2.81
Be (0.3755, 0.9995, 0.7753)  3 Cu 2.34-2.37, 3 Ta 2.51-2.57
Be (0.6245, 0.4995, 0.2247)  3 Cu 2.34-2.37, 3 Ta 2.51-2.57
Cu (0.2306, 0.6658, 0.5007)  3 Be 2.34-2.37, 2 Cu 2.54
Cu (0.7694, 0.1658, 0.4993)  3 Be 2.34-2.37, 2 Cu 2.54

# 6
AcEr3Te6 after structural relaxation, computed with PBE-GGA.

Properties
Total moment: 0.0 μB/cell
ΔE_f (raw): -1.433 eV per atom

Unit cell a=12.5584 b=4.4540 c=12.8975 alpha=90.00 beta=109.28 gamma=90.00
With the nearest neighbours (Å) after each atom.
Fractional coordinates of all 20 atoms:
Ac (0.0512, 0.2500, 0.1996)  8 Te 3.37-3.47
Ac (0.9488, 0.7500, 0.8004)  8 Te 3.37-3.47
Er (0.1569, 0.2500, 0.5866)  6 Te 2.98-3.09
Er (0.3210, 0.7500, 0.9995)  7 Te 3.05-3.27
Er (0.4444, 0.2500, 0.3365)  6 Te 3.05-3.12
Er (0.5556, 0.7500, 0.6635)  6 Te 3.05-3.12
Er (0.6790, 0.2500, 0.0005)  7 Te 3.05-3.27
Er (0.8431, 0.7500, 0.4134)  6 Te 2.98-3.09
Te (0.0857, 0.7500, 0.4110)  3 Er 3.06-3.09
Te (0.1254, 0.2500, 0.9677)  2 Er 3.24, 3 Ac 3.37-3.41
Te (0.2015, 0.7500, 0.7494)  3 Er 2.98-3.08
Te (0.2711, 0.7500, 0.2283)  3 Er 3.10-3.21, 2 Ac 3.47
Te (0.3886, 0.2500, 0.5550)  4 Er 3.06-3.12
Te (0.4825, 0.2500, 0.1150)  4 Er 3.05-3.27
Te (0.5175, 0.7500, 0.8850)  4 Er 3.05-3.27
Te (0.6114, 0.7500, 0.4450)  4 Er 3.06-3.12
Te (0.7289, 0.2500, 0.7717)  3 Er 3.10-3.21, 2 Ac 3.47
Te (0.7985, 0.2500, 0.2506)  3 Er 2.98-3.08
Te (0.8746, 0.7500, 0.0323)  2 Er 3.24, 3 Ac 3.37-3.41
Te (0.9143, 0.2500, 0.5890)  3 Er 3.06-3.09

# 7
LaPm2Ir after structural relaxation, computed with PBE-GGA.

Properties
Total moment: 0.0 μB/cell
Energy relative to the lowest polymorph listed for this composition: 0.0365 eV/atom
Energy of formation: -446 meV/atom

Unit cell a=3.9560 b=9.8067 c=6.4849 alpha=90.00 beta=107.73 gamma=90.00
With the nearest neighbours (Å) after each atom.
Fractional coordinates of all 8 atoms:
La (0.0813, 0.2500, 0.1636)  2 Ir 2.91
La (0.9187, 0.7500, 0.8364)  2 Ir 2.91
Pm (0.3567, 0.0681, 0.7125)  2 Ir 2.94-2.95
Pm (0.3567, 0.4319, 0.7125)  2 Ir 2.94-2.95
Pm (0.6433, 0.5681, 0.2875)  2 Ir 2.94-2.95
Pm (0.6433, 0.9319, 0.2875)  2 Ir 2.94-2.95
Ir (0.2451, 0.7500, 0.4904)  2 La 2.91, 4 Pm 2.94-2.95
Ir (0.7549, 0.2500, 0.5096)  2 La 2.91, 4 Pm 2.94-2.95

# 8
Na2SmZnGe2 after structural relaxation, computed with PBE-GGA.

Properties
Total moment: 0.0 μB/cell
Energy of formation: -355 meV/atom

Unit cell a=4.4544 b=8.5155 c=7.3418 alpha=90.00 beta=90.00 gamma=90.00
With the nearest neighbours (Å) after each atom.
Fractional coordinates of all 12 atoms:
Na (0.0000, 0.0845, 0.0000)  3 Ge 3.15-3.25, 4 Na 3.27-3.29, 1 Zn 3.31
Na (0.0000, 0.9155, 0.5000)  3 Ge 3.15-3.25, 4 Na 3.27-3.29, 1 Zn 3.31
Na (0.5000, 0.1512, 0.3209)  4 Ge 2.95-3.03, 4 Na 3.27-3.29
Na (0.5000, 0.8488, 0.8209)  4 Ge 2.95-3.03, 4 Na 3.27-3.29
Sm (0.5000, 0.4597, 0.9862)  5 Ge 3.02-3.11, 2 Zn 3.14
Sm (0.5000, 0.5403, 0.4862)  5 Ge 3.02-3.11, 2 Zn 3.14
Zn (0.0000, 0.3140, 0.6359)  4 Ge 2.55-2.77
Zn (0.0000, 0.6860, 0.1359)  4 Ge 2.55-2.77
Ge (0.0000, 0.3879, 0.2690)  2 Zn 2.72-2.77, 2 Na 3.03, 2 Sm 3.03
Ge (0.0000, 0.6121, 0.7690)  2 Zn 2.72-2.77, 2 Na 3.03, 2 Sm 3.03
Ge (0.5000, 0.1887, 0.7208)  2 Zn 2.55
Ge (0.5000, 0.8113, 0.2208)  2 Zn 2.55

no.,total DFT energy (no corrections) (eV/atom)
1,-5.22
2,-2.66
3,-2.43
4,-5.08
5,-6.52
6,-5.10
7,-6.27
8,-3.33